! TmNpCr2O6, optimized geometry, DFT GGA+U; values from VASP
! volume = 127.9 Å³ per cell
! energy = -8.765 eV/atom
&SYSTEM
  ibrav = 0, nat = 10, ntyp = 4
/
ATOMIC_SPECIES
O 16.00 O.upf
Tm 168.93 Tm.upf
Cr 52.00 Cr.upf
Np 237.00 Np.upf
CELL_PARAMETERS angstrom
-0.321 -5.477 0.736
4.123 -3.409 -1.558
3.198 -2.327 4.160
ATOMIC_POSITIONS crystal
O 0.149 0.413 0.731
O 0.875 0.613 0.266
O 0.638 0.235 0.244
O 0.723 0.138 0.745
O 0.397 0.722 0.742
O 0.235 0.882 0.243
Tm 0.803 0.811 0.572
Cr 0.023 0.022 0.942
Cr 0.515 0.517 0.455
Np 0.304 0.308 0.075